A relaxed Y5Ho2Er2 crystal. Source: the Alexandria database, functional PBE-GGA.

Structure (POSCAR):
```
Y5Ho2Er2
1.0
-1.256 1.642 2.882
-11.851 -5.495 -4.251
1.919 -5.547 1.808
Ho Y Er
2 5 2
Direct
0.334 0.777 0.891 Ho
0.666 0.223 0.109 Ho
0.666 0.556 0.776 Y
0.333 0.113 0.553 Y
0.334 0.444 0.224 Y
0.000 0.000 0.000 Y
0.667 0.887 0.447 Y
0.000 0.667 0.332 Er
0.000 0.333 0.668 Er
```

Computed properties:
E_form	24.8	meV per atom
D(E_F)	13.097	states/eV/cell
total energy	-5.598	eV/atom
excess energy over the best structure of this formula in the dataset	0.000	eV/atom